Here is crystalline Nd3Zn4Pd4 at its relaxed geometry from Alexandria. Energies are from GGA-PBE.

Cell lengths 8.363, 8.363, 8.363 Å; angles 151.10, 127.37, 61.16 degrees
Fractional positions:
Nd  0.000  0.000  0.000
Nd  0.371  0.871  0.500
Nd  0.629  0.129  0.500
Zn  0.021  0.328  0.693
Zn  0.365  0.672  0.693
Zn  0.635  0.328  0.307
Zn  0.979  0.672  0.307
Pd  0.216  0.216  0.000
Pd  0.306  0.500  0.806
Pd  0.694  0.500  0.194
Pd  0.784  0.784  0.000

Results
ΔE_f	-0.67	eV/atom
energy above the most stable polymorph in this dataset	0	meV per atom



Here is crystalline Nd3Zn7Pd2 at its relaxed geometry from Alexandria. Energies are from GGA-PBE.

Cell lengths 9.278, 9.278, 9.278 Å; angles 34.72, 34.72, 34.72 degrees
Fractional positions:
Nd  0.000  0.000  0.000
Nd  0.149  0.149  0.149
Nd  0.851  0.851  0.851
Zn  0.086  0.578  0.578
Zn  0.422  0.422  0.914
Zn  0.422  0.914  0.422
Zn  0.500  0.500  0.500
Zn  0.578  0.086  0.578
Zn  0.578  0.578  0.086
Zn  0.914  0.422  0.422
Pd  0.332  0.332  0.332
Pd  0.668  0.668  0.668

Results
ΔE_f	-0.44	eV/atom



Here is crystalline NdZn9Pd2 at its relaxed geometry from Alexandria. Energies are from GGA-PBE.

Cell lengths 8.772, 8.772, 3.025 Å; angles 90.00, 90.00, 120.00 degrees
Fractional positions:
Nd  0.000  0.000  0.000
Zn  0.000  0.500  0.000
Zn  0.186  0.372  0.500
Zn  0.186  0.814  0.500
Zn  0.372  0.186  0.500
Zn  0.500  0.000  0.000
Zn  0.500  0.500  0.000
Zn  0.628  0.814  0.500
Zn  0.814  0.186  0.500
Zn  0.814  0.628  0.500
Pd  0.333  0.667  0.000
Pd  0.667  0.333  0.000

Results
ΔE_f	-0.27	eV/atom
energy above the most stable polymorph in this dataset	110	meV per atom